The following is a PBE calculation of a relaxed structure of Ti2BeCdGa, from Alexandria via LeMat-Bulk.

The structure in POSCAR format:
```
Ti2BeCdGa
1.0
4.798 0.000 0.000
0.000 4.113 0.000
0.000 0.000 4.798
Cd Be Ga Ti
1 1 1 2
Direct
0.500 0.500 0.500
0.000 0.500 0.000
0.000 0.000 0.000
0.500 0.000 0.000
0.000 0.000 0.500
```

- N(E_F) (states/eV/f.u.) = 3.615
- VASP energy (eV per atom) = -4.18
- volume (Å³/f.u.) = 94.70
- SG = P4/mmm (123)

=====

The following is a PBE calculation of a relaxed structure of Be2VCdGa, from Alexandria via LeMat-Bulk.

The structure in POSCAR format:
```
Be2VCdGa
1.0
-4.159 0.120 -0.450
0.484 -0.548 -4.616
-0.171 -4.154 0.476
Ga Be V Cd
1 2 1 1
Direct
0.000 0.000 0.000
0.000 0.000 0.500
0.500 0.000 0.000
0.000 0.500 0.000
0.500 0.500 0.500
```

- N(E_F) (states/eV/f.u.) = 1.816
- VASP energy (eV per atom) = -3.32
- volume (Å³/f.u.) = 81.84
- SG = P4/mmm (123)

=====

The following is a PBE calculation of a relaxed structure of Gd2BeCd, from Alexandria via LeMat-Bulk.

The structure in POSCAR format:
```
Gd2BeCd
1.0
5.145 0.000 0.000
2.572 4.455 0.000
2.572 1.485 4.201
Be Cd Gd
1 1 2
Direct
0.000 0.000 0.000
0.500 0.500 0.500
0.250 0.250 0.250
0.750 0.750 0.750
```

- N(E_F) (states/eV/f.u.) = 3.914
- ΔE to the lowest computed polymorph (eV/atom) = 0.0748
- volume (Å³/f.u.) = 96.29
- SG = Fm-3m (225)

=====

The following is a PBE calculation of a relaxed structure of Gd2BeCd, from Alexandria via LeMat-Bulk.

The structure in POSCAR format:
```
Gd2BeCd
1.0
-2.055 2.003 2.014
-2.714 -0.651 -2.122
-1.830 -6.115 4.214
Cd Gd Be
1 2 1
Direct
0.500 0.500 0.500
0.000 0.000 0.217
0.000 0.000 0.783
0.500 0.500 0.000
```

- N(E_F) (states/eV/f.u.) = 2.331
- ΔE to the lowest computed polymorph (eV/atom) = 0.0000
- volume (Å³/f.u.) = 94.01
- SG = P4/mmm (123)